Record 1
First-principles (PBE) data for crystalline PmSb2Ru at its relaxed geometry, as listed in Alexandria.

Computed properties:
* polymorph energy (0 for the lowest one): 1.945 eV per formula unit

```
PmSb2Ru
1.0
4.6662 0.0000 0.0000
0.0000 4.6662 0.0000
0.0000 0.0000 4.1509
Pm Sb Ru
1 2 1
direct
0.0000 0.0000 0.0000
0.0000 0.5000 0.5000
0.5000 0.0000 0.5000
0.5000 0.5000 0.0000
```

Record 2
First-principles (PBE) data for crystalline Cu2TeN at its relaxed geometry, as listed in Alexandria.

Computed properties:
* polymorph energy (0 for the lowest one): 0.000 eV per formula unit

```
Cu2TeN
1.0
4.8391 0.0000 0.0000
0.0000 4.8391 0.0000
0.0000 0.0000 11.1399
Cu Te N
8 4 4
direct
0.0950 0.2500 0.1250
0.2500 0.5950 0.3750
0.2500 0.9050 0.8750
0.4050 0.2500 0.6250
0.5950 0.7500 0.6250
0.7500 0.0950 0.8750
0.7500 0.4050 0.3750
0.9050 0.7500 0.1250
0.0000 0.0000 0.5000
0.0000 0.5000 0.7500
0.5000 0.0000 0.2500
0.5000 0.5000 0.0000
0.0000 0.0000 0.0000
0.0000 0.5000 0.2500
0.5000 0.0000 0.7500
0.5000 0.5000 0.5000
```

Record 3
First-principles (PBE) data for crystalline Rb2FeAuI6 at its relaxed geometry, as listed in Alexandria.

Computed properties:
* final energy: -2.8972 eV per atom

```
Rb2FeAuI6
1.0
-4.1755 4.1755 5.9637
4.1755 -4.1755 5.9637
4.1755 4.1755 -5.9637
Rb Fe Au I
2 1 1 6
direct
0.2500 0.7500 0.5000
0.7500 0.2500 0.5000
0.0000 0.0000 0.0000
0.5000 0.5000 0.0000
0.2225 0.2225 0.4451
0.2225 0.7775 0.0000
0.2777 0.2777 0.0000
0.7223 0.7223 0.0000
0.7775 0.2225 0.0000
0.7775 0.7775 0.5549
```

Record 4
First-principles (PBE) data for crystalline EuTiHg2 at its relaxed geometry, as listed in Alexandria.

Computed properties:
* energy of formation from the pure elements: -0.164 eV/atom

```
EuTiHg2
1.0
3.5081 0.0000 0.0000
0.0000 3.5081 0.0000
0.0000 0.0000 7.6243
Eu Ti Hg
1 1 2
direct
0.0000 0.0000 0.0000
0.0000 0.0000 0.5000
0.5000 0.5000 0.2909
0.5000 0.5000 0.7091
```

Record 5
First-principles (PBE) data for crystalline SmHo15Tm4 at its relaxed geometry, as listed in Alexandria.

Computed properties:
* energy of formation from the pure elements: 0.021 eV/atom

```
SmHo15Tm4
1.0
4.9790 0.0000 0.0000
0.0000 4.9790 0.0000
0.0000 0.0000 24.8901
Sm Ho Tm
1 15 4
direct
0.0000 0.0000 0.0000
0.0000 0.5000 0.1015
0.0000 0.5000 0.3007
0.0000 0.5000 0.5000
0.0000 0.5000 0.6993
0.0000 0.5000 0.8985
0.5000 0.0000 0.1015
0.5000 0.0000 0.3007
0.5000 0.0000 0.5000
0.5000 0.0000 0.6993
0.5000 0.0000 0.8985
0.5000 0.5000 0.0000
0.5000 0.5000 0.2014
0.5000 0.5000 0.4003
0.5000 0.5000 0.5997
0.5000 0.5000 0.7986
0.0000 0.0000 0.2010
0.0000 0.0000 0.4004
0.0000 0.0000 0.5996
0.0000 0.0000 0.7990
```

Record 6
First-principles (PBE) data for crystalline NdTmH2 at its relaxed geometry, as listed in Alexandria.

Computed properties:
* polymorph energy (0 for the lowest one): 0.000 eV per formula unit

```
NdTmH2
1.0
3.5258 0.0000 0.0000
-1.7629 3.0534 0.0000
0.0000 0.0000 17.2064
Nd Tm H
3 3 6
direct
0.0000 0.0000 0.0000
0.3333 0.6667 0.6667
0.6667 0.3333 0.3333
0.0000 0.0000 0.5000
0.3333 0.6667 0.1667
0.6667 0.3333 0.8333
0.0000 0.0000 0.2419
0.0000 0.0000 0.7581
0.3333 0.6667 0.4248
0.3333 0.6667 0.9086
0.6667 0.3333 0.0914
0.6667 0.3333 0.5752
```

Record 7
First-principles (PBE) data for crystalline LiScIr2 at its relaxed geometry, as listed in Alexandria.

Computed properties:
* energy of formation from the pure elements: 0.071 eV/atom

```
LiScIr2
1.0
2.8122 0.0000 0.0000
-1.4061 2.4354 0.0000
0.0000 0.0000 28.4773
Li Sc Ir
3 3 6
direct
0.0000 0.0000 0.0000
0.3333 0.6667 0.6667
0.6667 0.3333 0.3333
0.0000 0.0000 0.2341
0.3333 0.6667 0.9008
0.6667 0.3333 0.5674
0.0000 0.0000 0.4863
0.0000 0.0000 0.7418
0.3333 0.6667 0.1529
0.3333 0.6667 0.4085
0.6667 0.3333 0.0751
0.6667 0.3333 0.8196
```

Record 8
First-principles (PBE) data for crystalline MgInRh at its relaxed geometry, as listed in Alexandria.

Computed properties:
* energy of formation from the pure elements: -0.453 eV/atom

```
MgInRh
1.0
4.5554 0.0000 0.0000
0.0000 4.5554 0.0000
0.0000 0.0000 5.9945
Mg In Rh
2 2 2
direct
0.0000 0.5000 0.0000
0.5000 0.0000 0.5000
0.0000 0.5000 0.5000
0.5000 0.0000 0.0000
0.0000 0.0000 0.2500
0.0000 0.0000 0.7500
```

Record 9
First-principles (PBE) data for crystalline PuNiBC at its relaxed geometry, as listed in Alexandria.

Computed properties:
* energy of formation from the pure elements: -0.324 eV/atom

```
PuNiBC
1.0
3.5642 0.0000 0.0000
0.0000 3.5642 0.0000
0.0000 0.0000 7.5232
Pu Ni B C
2 2 2 2
direct
0.2500 0.2500 0.1708
0.7500 0.7500 0.8292
0.2500 0.7500 0.5000
0.7500 0.2500 0.5000
0.2500 0.2500 0.6526
0.7500 0.7500 0.3474
0.2500 0.2500 0.8560
0.7500 0.7500 0.1440
```

Record 10
First-principles (PBE) data for crystalline CaSi at its relaxed geometry, as listed in Alexandria.

Computed properties:
* final energy: -3.7711 eV per atom

```
CaSi
1.0
4.2908 0.0000 0.0000
0.0000 4.2908 0.0000
0.0000 0.0000 10.2218
Ca Si
4 4
direct
0.0000 0.2500 0.3750
0.0000 0.7500 0.6250
0.5000 0.2500 0.1250
0.5000 0.7500 0.8750
0.0000 0.2500 0.8750
0.0000 0.7500 0.1250
0.5000 0.2500 0.6250
0.5000 0.7500 0.3750
```

Record 11
First-principles (PBE) data for crystalline La2Ni9Ru at its relaxed geometry, as listed in Alexandria.

Computed properties:
* energy of formation from the pure elements: -0.021 eV/atom

```
La2Ni9Ru
1.0
2.4623 1.4216 8.2502
-2.4623 1.4216 8.2502
0.0000 -2.8432 8.2502
La Ni Ru
2 9 1
direct
0.1324 0.1324 0.1324
0.8676 0.8676 0.8676
0.0789 0.5777 0.5777
0.3328 0.3328 0.3328
0.4223 0.4223 0.9211
0.4223 0.9211 0.4223
0.5000 0.5000 0.5000
0.5777 0.0789 0.5777
0.5777 0.5777 0.0789
0.6672 0.6672 0.6672
0.9211 0.4223 0.4223
0.0000 0.0000 0.0000
```

Record 12
First-principles (PBE) data for crystalline UGePd2 at its relaxed geometry, as listed in Alexandria.

Computed properties:
* energy of formation from the pure elements: -0.376 eV/atom

```
UGePd2
1.0
5.6760 0.0000 0.0000
0.0000 4.4255 0.0000
-0.1113 0.0000 5.9251
U Ge Pd
2 2 4
direct
0.2323 0.2500 0.1073
0.7677 0.7500 0.8927
0.2624 0.7500 0.7323
0.7376 0.2500 0.2677
0.0102 0.2500 0.6432
0.4899 0.7500 0.3454
0.5101 0.2500 0.6546
0.9898 0.7500 0.3568
```

Record 13
First-principles (PBE) data for crystalline Tb2HoSc5 at its relaxed geometry, as listed in Alexandria.

Computed properties:
* energy of formation from the pure elements: -0.030 eV/atom

```
Tb2HoSc5
1.0
6.8852 0.0000 0.0000
0.0000 6.8852 0.0000
0.0000 0.0000 9.1334
Tb Ho Sc
4 2 10
direct
0.0000 0.5000 0.0000
0.0000 0.5000 0.5000
0.5000 0.0000 0.0000
0.5000 0.0000 0.5000
0.0000 0.0000 0.0007
0.5000 0.5000 0.5007
0.0000 0.0000 0.4983
0.2497 0.2497 0.2491
0.2503 0.2503 0.7491
0.2497 0.7503 0.2491
0.2503 0.7497 0.7491
0.5000 0.5000 0.9983
0.7503 0.2497 0.2491
0.7497 0.2503 0.7491
0.7503 0.7503 0.2491
0.7497 0.7497 0.7491
```

Record 14
First-principles (PBE) data for crystalline NaScP2Se8 at its relaxed geometry, as listed in Alexandria.

Computed properties:
* final energy: -4.2405 eV per atom

```
NaScP2Se8
1.0
3.1692 1.8297 8.7197
-3.1692 1.8297 8.7197
0.0000 -3.6595 8.7197
Na Sc P Se
1 1 2 8
direct
0.0000 0.0000 0.0000
0.5000 0.5000 0.5000
0.2508 0.2508 0.2508
0.7492 0.7492 0.7492
0.0985 0.4174 0.8064
0.1936 0.9015 0.5826
0.3354 0.3354 0.3354
0.4174 0.8064 0.0985
0.5826 0.1936 0.9015
0.6646 0.6646 0.6646
0.8064 0.0985 0.4174
0.9015 0.5826 0.1936
```

Record 15
First-principles (PBE) data for crystalline Pu4PH6 at its relaxed geometry, as listed in Alexandria.

Computed properties:
* final energy: -7.7193 eV per atom

```
Pu4PH6
1.0
6.1238 0.0000 0.0000
-3.0619 5.3033 0.0000
0.0000 0.0000 3.8026
Pu P H
4 1 6
direct
0.0000 0.0000 0.0000
0.0740 0.5370 0.5000
0.4630 0.5370 0.5000
0.4630 0.9260 0.5000
0.6667 0.3333 0.0000
0.2096 0.4192 0.0000
0.2096 0.7904 0.0000
0.2577 0.1288 0.5000
0.5808 0.7904 0.0000
0.8712 0.1288 0.5000
0.8712 0.7423 0.5000
```

Record 16
First-principles (PBE) data for crystalline LaAlRu2F at its relaxed geometry, as listed in Alexandria.

Computed properties:
* final energy: -5.7996 eV per atom

```
LaAlRu2F
1.0
4.4952 0.0000 0.0000
0.0000 4.4952 0.0000
0.0000 0.0000 4.5051
La Al Ru F
1 1 2 1
direct
0.0000 0.0000 0.0000
0.5000 0.5000 0.0000
0.0000 0.5000 0.5000
0.5000 0.0000 0.5000
0.0000 0.0000 0.5000
```

Record 17
First-principles (PBE) data for crystalline ThTl2CdSe4 at its relaxed geometry, as listed in Alexandria.

Computed properties:
* final energy: -4.3174 eV per atom

```
ThTl2CdSe4
1.0
7.2401 0.0000 0.0000
0.0000 4.2652 0.0000
-2.6450 0.0000 7.8118
Th Tl Cd Se
1 2 1 4
direct
0.0000 0.0000 0.0000
0.0000 0.5000 0.5000
0.5000 0.0000 0.5000
0.5000 0.5000 0.0000
0.2278 0.5000 0.2157
0.2695 0.0000 0.8005
0.7305 0.0000 0.1995
0.7722 0.5000 0.7843
```

Record 18
First-principles (PBE) data for crystalline La5TmSn2 at its relaxed geometry, as listed in Alexandria.

Computed properties:
* energy of formation from the pure elements: -0.336 eV/atom

```
La5TmSn2
1.0
2.2290 -6.2117 0.0000
2.2290 6.2117 0.0000
0.0000 0.0000 19.2102
La Tm Sn
10 2 4
direct
0.0377 0.9623 0.6186
0.0377 0.9623 0.8814
0.3594 0.6406 0.5255
0.3594 0.6406 0.9745
0.4265 0.5735 0.2500
0.5735 0.4265 0.7500
0.6406 0.3594 0.0255
0.6406 0.3594 0.4745
0.9623 0.0377 0.1186
0.9623 0.0377 0.3814
0.2937 0.7063 0.7500
0.7063 0.2937 0.2500
0.2446 0.7554 0.1341
0.2446 0.7554 0.3659
0.7554 0.2446 0.6341
0.7554 0.2446 0.8659
```

Record 19
First-principles (PBE) data for crystalline CsCa3Te at its relaxed geometry, as listed in Alexandria.

Computed properties:
* polymorph energy (0 for the lowest one): 0.000 eV per formula unit

```
CsCa3Te
1.0
6.3372 0.0000 0.0000
0.0000 6.3372 0.0000
0.0000 0.0000 6.3372
Cs Ca Te
1 3 1
direct
0.0000 0.0000 0.0000
0.0000 0.5000 0.5000
0.5000 0.0000 0.5000
0.5000 0.5000 0.0000
0.5000 0.5000 0.5000
```

Record 20
First-principles (PBE) data for crystalline Li2LaBe at its relaxed geometry, as listed in Alexandria.

Computed properties:
* energy of formation from the pure elements: 0.303 eV/atom

```
Li2LaBe
1.0
4.4720 0.0000 0.0000
-2.2360 3.8728 0.0000
0.0000 0.0000 14.3592
Li La Be
6 3 3
direct
0.0000 0.0000 0.2097
0.0000 0.0000 0.7903
0.3333 0.6667 0.4570
0.3333 0.6667 0.8764
0.6667 0.3333 0.1236
0.6667 0.3333 0.5430
0.0000 0.0000 0.0000
0.3333 0.6667 0.6667
0.6667 0.3333 0.3333
0.0000 0.0000 0.5000
0.3333 0.6667 0.1667
0.6667 0.3333 0.8333
```

Number 1: spin magnetization 0.00 μB/atom. Number 2: spin magnetization 0.00 μB/atom. Number 3: spin magnetization 0.31 μB/atom. Number 4: spin magnetization 2.04 μB/atom. Number 5: spin magnetization 0.00 μB/atom. Number 6: spin magnetization 0.00 μB/atom. Number 7: spin magnetization 0.00 μB/atom. Number 8: spin magnetization 0.00 μB/atom. Number 9: spin magnetization 1.18 μB/atom. Number 10: spin magnetization 0.00 μB/atom. Number 11: spin magnetization 0.45 μB/atom. Number 12: spin magnetization 0.58 μB/atom. Number 13: spin magnetization 0.00 μB/atom. Number 14: spin magnetization 0.06 μB/atom. Number 15: spin magnetization 0.70 μB/atom. Number 16: spin magnetization 0.00 μB/atom. Number 17: spin magnetization 0.00 μB/atom. Number 18: spin magnetization 0.00 μB/atom. Number 19: spin magnetization 0.14 μB/atom. Number 20: spin magnetization 0.00 μB/atom.